# AlCuAu

A relaxed AlCuAu crystal (PBE-GGA, the Alexandria database).

Geometry as CIF:
```
data_AlCuAu
_cell_length_a 3.276
_cell_length_b 3.276
_cell_length_c 8.325
_cell_angle_alpha 90.00
_cell_angle_beta 90.00
_cell_angle_gamma 90.00
_space_group_name_H-M_alt 'I 4 m m'
_space_group_IT_number 107
_space_group_name_Hall 'I 4 -2'
loop_
_atom_site_label
_atom_site_fract_x
_atom_site_fract_y
_atom_site_fract_z
Al1 0.000 0.000 0.000
Cu1 0.000 0.000 0.348
Au1 0.000 0.000 0.671
```

Properties
crystal system: tetragonal
excess energy over the best structure of this formula in the dataset: 0.00 eV/f.u.
energy of formation from the pure elements: -288 meV per atom